{"formula": "Cs2Sb2S5", "functional": "PBE", "state": "relaxed", "e_above_lowest_polymorph_mev_per_atom": 29, "raw_formation_energy_ev_per_atom": -0.564, "lattice": [[5.4527, 0.0000, 0.0000], [-2.7263, 7.2182, -0.4156], [0.0000, -1.5565, 8.3359]], "species": ["Sb", "S", "Cs", "S", "Sb", "Cs", "S", "S", "S"], "frac_coords": [[0.8456, 0.6912, 0.1043], [0.0000, 0.0000, 0.0000], [0.4043, 0.8086, 0.6718], [0.8569, 0.7137, 0.3829], [0.1544, 0.3088, 0.8957], [0.5957, 0.1914, 0.3282], [0.6745, 0.3490, 0.9576], [0.1431, 0.2863, 0.6171], [0.3255, 0.6510, 0.0424]]}

{"formula": "CuPO2F", "functional": "PBE", "state": "relaxed", "raw_formation_energy_ev_per_atom": 0.248, "dos_ef_per_ev_atom": 0.7652, "lattice": [[3.5908, 0.0000, 0.0000], [0.0000, 3.5908, 0.0000], [0.0000, 0.0000, 4.9139]], "species": ["P", "O", "F", "Cu", "O"], "frac_coords": [[0.0000, 0.0000, 0.5000], [0.5000, 0.0000, 0.0000], [0.5000, 0.5000, 0.5000], [0.0000, 0.0000, 0.0000], [0.0000, 0.5000, 0.0000]]}

{"formula": "Ac5Sm3S8", "functional": "PBE", "state": "relaxed", "raw_formation_energy_ev_per_atom": -1.994, "dos_ef_per_ev_atom": 0.4747, "lattice": [[7.2679, 0.0000, 4.1631], [2.4416, 6.8455, 4.1631], [0.0069, 0.0049, 8.4136]], "species": ["S", "S", "Sm", "S", "Sm", "Ac", "Ac", "S", "Ac", "Ac", "S", "S", "S", "S", "Sm", "Ac"], "frac_coords": [[0.7500, 0.7500, 0.2648], [0.7648, 0.2500, 0.7352], [0.0000, 0.5000, 0.5000], [0.2352, 0.7500, 0.2648], [0.0000, 0.0000, 0.5000], [0.0000, 0.0000, 0.0000], [0.5000, 0.5000, 0.5000], [0.7569, 0.7569, 0.7294], [0.0000, 0.5000, 0.0000], [0.5000, 0.5000, 0.0000], [0.7500, 0.2352, 0.2648], [0.2431, 0.2431, 0.2706], [0.2500, 0.2500, 0.7352], [0.2500, 0.7648, 0.7352], [0.5000, 0.0000, 0.5000], [0.5000, 0.0000, 0.0000]]}